Entry 1:
KCd2Rh: relaxed, PBE.

Output
Polymorph energy (0 for the lowest one) = 0.271 eV/atom

Lattice parameters (Å, degrees): 5.130 5.130 3.318 90.00 90.00 90.00
Sites, in units of the cell vectors:
K 0.000 0.000 0.000
Cd 0.000 0.500 0.500
Cd 0.500 0.000 0.500
Rh 0.500 0.500 0.000

Entry 2:
CsSnAu: relaxed, PBE.

Output
E = -0.10717 hartree per atom

Lattice parameters (Å, degrees): 7.320 7.320 7.320 149.38 149.38 43.85
Sites, in units of the cell vectors:
Cs 0.000 0.000 0.000
Sn 0.721 0.721 0.000
Au 0.287 0.287 0.000

Entry 3:
Pm3Al3Ge: relaxed, PBE.

Output
E = -0.17752 hartree per atom

Lattice parameters (Å, degrees): 9.982 9.982 9.982 155.38 154.82 35.50
Sites, in units of the cell vectors:
Pm 0.000 0.000 0.000
Pm 0.182 0.682 0.500
Pm 0.370 0.370 0.000
Al 0.543 0.543 0.000
Al 0.749 0.249 0.500
Al 0.824 0.824 0.000
Ge 0.619 0.119 0.500

Number 1: magnetic moment 0.0 μB per cell. Number 2: magnetic moment 0.0 μB per cell. Number 3: magnetic moment 0.5 μB per cell.